Here is an optimized crystal structure of Pm2CoRuO6 from the Alexandria database. Energies are from GGA+U.

Summary:
Final energy, eV per atom: -7.5802
Total magnetic moment, Bohr magnetons per cell: 10.00

abc: 5.4046 5.8518 7.7731
angles: 90.00 90.45 90.00
Site moments in Bohr magnetons follow the coordinates.
Fractional positions:
1 O 0.6841 0.2979 0.5557  0.10
2 O 0.6078 0.0353 0.2547  0.12
3 O 0.1841 0.2021 0.0557  0.10
4 O 0.8050 0.8056 0.5517  0.11
5 O 0.6950 0.3056 0.9483  0.11
6 O 0.3922 0.9647 0.7453  0.12
7 Co 0.0000 0.5000 0.5000  2.69
8 Ru 0.0000 0.5000 0.0000  1.45
9 O 0.8922 0.5353 0.2453  0.12
10 O 0.3159 0.7021 0.4443  0.10
11 Pm 0.4761 0.4265 0.2495  0.01
12 O 0.1078 0.4647 0.7547  0.12
13 Co 0.5000 0.0000 0.0000  2.69
14 Pm 0.5239 0.5735 0.7505  0.01
15 Pm 0.9761 0.0735 0.7495  0.01
16 O 0.1950 0.1944 0.4483  0.11
17 O 0.3050 0.6944 0.0517  0.11
18 O 0.8159 0.7979 0.9443  0.10
19 Ru 0.5000 0.0000 0.5000  1.45
20 Pm 0.0239 0.9265 0.2505  0.01